(1)
PmDyMg2: optimized geometry, GGA-PBE.

The raw total energy comes out at -3.23 eV/atom. The value obtained for the energy above the most stable polymorph in this dataset is 5 meV per atom. The formation energy comes out at -0.09 eV per atom.

The structure belongs to space group P4/mmm (No. 123); the cell edges are 5.3936, 5.3936 and 3.8435 Å and the angles 90.00°, 90.00° and 90.00°. Symmetry generates all atoms from Pm at (0.0000, 0.0000, 0.0000), Dy at (0.5000, 0.5000, 0.0000) and Mg at (0.0000, 0.5000, 0.5000).

=====

(2)
CsGa3Bi: optimized geometry, GGA-PBE.

The raw total energy comes out at -2.43 eV/atom. The value obtained for the energy above the most stable polymorph in this dataset is 0 meV per atom. The formation energy comes out at 0.33 eV per atom.

The structure belongs to space group Pm-3m (No. 221); the cell edges are 5.8643, 5.8643 and 5.8643 Å and the angles 90.00°, 90.00° and 90.00°. Symmetry generates all atoms from Cs at (0.0000, 0.0000, 0.0000), Ga at (0.0000, 0.5000, 0.5000) and Bi at (0.5000, 0.5000, 0.5000).

=====

(3)
Pm2GeIr2: optimized geometry, GGA-PBE.

The raw total energy comes out at -7.17 eV/atom. The formation energy comes out at -0.80 eV per atom.

The structure belongs to space group C2/c (No. 15); the cell edges are 9.9425, 5.6236 and 7.8637 Å and the angles 90.00°, 103.03° and 90.00°. Symmetry generates all atoms from Pm at (0.1474, 0.1443, 0.1488), Ge at (0.0000, 0.3638, 0.7500) and Ir at (0.1345, 0.3679, 0.4987).

=====

(4)
Pm2BeSi2: optimized geometry, GGA-PBE.

The raw total energy comes out at -5.30 eV/atom.

The structure belongs to space group Cmc2_1 (No. 36); the cell edges are 4.0630, 15.3852 and 7.2227 Å and the angles 90.00°, 90.00° and 90.00°. Symmetry generates all atoms from Pm at (0.0000, 0.0329, 0.0000), Pm at (0.0000, 0.2154, 0.3240), Be at (0.0000, 0.4089, 0.1412), Si at (0.0000, 0.1581, 0.7065) and Si at (0.0000, 0.4341, 0.7967).

=====

(5)
RbNaAu10: optimized geometry, GGA-PBE.

The raw total energy comes out at -3.11 eV/atom. The formation energy comes out at -0.19 eV per atom.

The structure belongs to space group Pmmm (No. 47); the cell edges are 4.6372, 5.7071 and 9.9185 Å and the angles 90.00°, 90.00° and 90.00°. Symmetry generates all atoms from Rb at (0.0000, 0.0000, 0.0000), Na at (0.0000, 0.5000, 0.5000), Au at (0.0000, 0.0000, 0.3422), Au at (0.0000, 0.5000, 0.1807), Au at (0.5000, 0.0000, 0.5000), Au at (0.5000, 0.2514, 0.2544) and Au at (0.5000, 0.5000, 0.0000).

=====

(6)
LaPrPtAu: optimized geometry, GGA-PBE.

The raw total energy comes out at -5.74 eV/atom. The value obtained for the energy above the most stable polymorph in this dataset is 0 meV per atom. The formation energy comes out at -0.98 eV per atom.

The structure belongs to space group Amm2 (No. 38); the cell edges are 4.6309, 3.9790 and 11.4265 Å and the angles 90.00°, 90.00° and 90.00°. Symmetry generates all atoms from La at (0.0000, 0.0000, 0.0000), Pr at (0.5000, 0.0000, 0.7257), Pt at (0.5000, 0.0000, 0.4581) and Au at (0.0000, 0.0000, 0.2779).

=====

(7)
Ce2FeGe6Ir: optimized geometry, GGA-PBE.

The raw total energy comes out at -6.05 eV/atom. The formation energy comes out at -0.36 eV per atom.

The structure belongs to space group Pmmn (No. 59, origin choice 2); the cell edges are 6.4830, 8.7865 and 6.9568 Å and the angles 90.00°, 90.00° and 90.00°. Symmetry generates all atoms from Ce at (0.2500, 0.0016, 0.2391), Fe at (0.2500, 0.2500, 0.9019), Ge at (0.0568, 0.7500, 0.9343), Ge at (0.0601, 0.2500, 0.5835), Ge at (0.2500, 0.0053, 0.7560) and Ir at (0.2500, 0.7500, 0.6031).

=====

(8)
AlTlCd2F8: optimized geometry, GGA-PBE.

The raw total energy comes out at -4.43 eV/atom.

The structure belongs to space group P-1 (No. 2); the cell edges are 5.0156, 5.0194 and 7.3179 Å and the angles 87.37°, 88.35° and 88.31°. Symmetry generates all atoms from Al at (0.0000, 0.0000, 0.0000), Tl at (0.0000, 0.0000, 0.5000), Cd at (0.4933, 0.4940, 0.7589), F at (0.1587, 0.7891, 0.1781), F at (0.1828, 0.8124, 0.8276), F at (0.2793, 0.2508, 0.0028) and F at (0.4167, 0.2699, 0.5050).

=====

(9)
K2CuW: optimized geometry, GGA-PBE.

The raw total energy comes out at -3.54 eV/atom. The value obtained for the energy above the most stable polymorph in this dataset is 315 meV per atom. The formation energy comes out at 1.27 eV per atom.

The structure belongs to space group P4/mmm (No. 123); the cell edges are 2.8444, 2.8444 and 11.2650 Å and the angles 90.00°, 90.00° and 90.00°. Symmetry generates all atoms from K at (0.0000, 0.0000, 0.2402), Cu at (0.5000, 0.5000, 0.0000) and W at (0.5000, 0.5000, 0.5000).

=====

(10)
PdPbSN2: optimized geometry, GGA-PBE.

The raw total energy comes out at -4.81 eV/atom. The value obtained for the energy above the most stable polymorph in this dataset is 0 meV per atom.

The structure belongs to space group P4/mmm (No. 123); the cell edges are 4.0293, 4.0293 and 5.0041 Å and the angles 90.00°, 90.00° and 90.00°. Symmetry generates all atoms from Pd at (0.0000, 0.0000, 0.0000), Pb at (0.5000, 0.5000, 0.5000), S at (0.0000, 0.0000, 0.5000) and N at (0.0000, 0.5000, 0.0000).

=====

(11)
YNiH2: optimized geometry, GGA-PBE.

The raw total energy comes out at -5.04 eV/atom. The value obtained for the energy above the most stable polymorph in this dataset is 101 meV per atom.

The structure belongs to space group I-42d (No. 122); the cell edges are 4.1920, 4.1920 and 10.0081 Å and the angles 90.00°, 90.00° and 90.00°. Symmetry generates all atoms from Y at (0.0000, 0.0000, 0.0000), Ni at (0.0000, 0.0000, 0.5000) and H at (0.1004, 0.2500, 0.6250).

=====

(12)
MgBeAu2: optimized geometry, GGA-PBE.

The raw total energy comes out at -3.19 eV/atom. The value obtained for the energy above the most stable polymorph in this dataset is 118 meV per atom. The formation energy comes out at -0.22 eV per atom.

The structure belongs to space group P4mm (No. 99); the cell edges are 3.2505, 3.2505 and 6.1532 Å and the angles 90.00°, 90.00° and 90.00°. Symmetry generates all atoms from Mg at (0.0000, 0.0000, 0.0000), Be at (0.5000, 0.5000, 0.6870), Au at (0.0000, 0.0000, 0.5659) and Au at (0.5000, 0.5000, 0.2436).

=====

Copy entry 7 word for word.
Ce2FeGe6Ir: optimized geometry, GGA-PBE.

The raw total energy comes out at -6.05 eV/atom. The formation energy comes out at -0.36 eV per atom.

The structure belongs to space group Pmmn (No. 59, origin choice 2); the cell edges are 6.4830, 8.7865 and 6.9568 Å and the angles 90.00°, 90.00° and 90.00°. Symmetry generates all atoms from Ce at (0.2500, 0.0016, 0.2391), Fe at (0.2500, 0.2500, 0.9019), Ge at (0.0568, 0.7500, 0.9343), Ge at (0.0601, 0.2500, 0.5835), Ge at (0.2500, 0.0053, 0.7560) and Ir at (0.2500, 0.7500, 0.6031).

=====

Which of these has the lowest raw total energy? Pm2GeIr2